A relaxed structure of CsKB2Br8. Source: Alexandria, functional PBE-GGA.

a b c (Å): 6.769 6.769 10.832
angles (deg): 90.00 90.00 120.00
Sites, in units of the cell vectors:
Cs  0.000  0.000  0.000
K  0.000  0.000  0.500
B  0.333  0.667  0.762
B  0.667  0.333  0.238
Br  0.031  0.403  0.702
Br  0.333  0.667  0.950
Br  0.372  0.969  0.702
Br  0.403  0.372  0.298
Br  0.597  0.628  0.702
Br  0.628  0.031  0.298
Br  0.667  0.333  0.050
Br  0.969  0.597  0.298

Summary:
* SG: P-3
* E_form (uncorrected): -0.946 eV per atom
* energy: -3.34 eV per atom
* total magnetization: 0.00 Bohr magnetons per cell